Entry 1:
Crystalline FeMoS2N at its relaxed geometry. Source: Alexandria via LeMat-Bulk, functional PBE.

E_tot, Ry per atom: -0.493
E_form (uncorrected), kJ/mol of formula units: 226
Density, Mg/m³: 4.375
SG: P4/mmm (123)

The structure in POSCAR format:
```
FeMoS2N
1.0
-1.566 -3.128 3.309
3.203 -3.244 -1.551
2.530 1.326 2.451
N Mo Fe S
1 1 1 2
direct
0.000 0.000 0.500
0.000 0.000 0.000
0.500 0.500 0.500
0.500 0.000 0.000
0.000 0.500 0.000
```

---

Entry 2:
Crystalline FeMoS2N at its relaxed geometry. Source: Alexandria via LeMat-Bulk, functional PBE.

E_tot, Ry per atom: -0.489
E_form (uncorrected), kJ/mol of formula units: 249
Density, Mg/m³: 5.358
SG: P4/mmm (123)

The structure in POSCAR format:
```
FeMoS2N
1.0
4.596 0.000 0.000
0.000 4.596 0.000
0.000 0.000 3.374
S Fe N Mo
2 1 1 1
direct
0.000 0.500 0.000
0.500 0.000 0.000
0.000 0.000 0.000
0.000 0.000 0.500
0.500 0.500 0.500
```

---

Entry 3:
Crystalline FeSbMo2N at its relaxed geometry. Source: Alexandria via LeMat-Bulk, functional PBE.

E_tot, Ry per atom: -0.624
E_form (uncorrected), kJ/mol of formula units: 9
Density, Mg/m³: 9.208
SG: P4/mmm (123)

The structure in POSCAR format:
```
FeSbMo2N
1.0
4.239 0.000 0.000
0.000 4.239 0.000
0.000 0.000 3.849
Mo Sb Fe N
2 1 1 1
direct
0.000 0.500 0.000
0.500 0.000 0.000
0.500 0.500 0.500
0.000 0.000 0.500
0.000 0.000 0.000
```

---

Entry 4:
Crystalline Fe2SbMoN at its relaxed geometry. Source: Alexandria via LeMat-Bulk, functional PBE.

E_tot, Ry per atom: -0.587
E_form (uncorrected), kJ/mol of formula units: 24
Density, Mg/m³: 8.830
SG: P4/mmm (123)

The structure in POSCAR format:
```
Fe2SbMoN
1.0
3.953 0.000 0.000
0.000 3.953 0.000
0.000 0.000 4.133
N Sb Fe Mo
1 1 2 1
direct
0.000 0.000 0.000
0.500 0.500 0.500
0.500 0.000 0.000
0.000 0.500 0.000
0.000 0.000 0.500
```

---

Entry 5:
Crystalline FeMoSeN2 at its relaxed geometry. Source: Alexandria via LeMat-Bulk, functional PBE.

E_tot, Ry per atom: -0.533
E_form (uncorrected), kJ/mol of formula units: 304
Density, Mg/m³: 5.377
SG: P4/mmm (123)

The structure in POSCAR format:
```
FeMoSeN2
1.0
-1.513 -3.096 1.747
3.424 -0.759 1.621
-1.324 3.025 4.214
Se N Mo Fe
1 2 1 1
direct
0.000 0.000 0.500
0.500 0.000 0.000
0.000 0.500 0.000
0.000 0.000 0.000
0.500 0.500 0.500
```

---

Entry 6:
Crystalline FeMoSeN2 at its relaxed geometry. Source: Alexandria via LeMat-Bulk, functional PBE.

E_tot, Ry per atom: -0.502
E_form (uncorrected), kJ/mol of formula units: 509
Density, Mg/m³: 6.470
SG: P4/mmm (123)

The structure in POSCAR format:
```
FeMoSeN2
1.0
3.674 0.000 0.000
0.000 3.674 0.000
0.000 0.000 4.920
Se Mo Fe N
1 1 1 2
direct
0.000 0.000 0.500
0.500 0.500 0.500
0.000 0.000 0.000
0.500 0.000 0.000
0.000 0.500 0.000
```

---

Entry 7:
Crystalline FeMoSe2N at its relaxed geometry. Source: Alexandria via LeMat-Bulk, functional PBE.

E_tot, Ry per atom: -0.470
E_form (uncorrected), kJ/mol of formula units: 255
Density, Mg/m³: 5.549
SG: P4/mmm (123)

The structure in POSCAR format:
```
FeMoSe2N
1.0
-2.006 0.058 -4.660
3.041 -3.828 -1.357
-2.619 -2.469 1.096
Se Fe Mo N
2 1 1 1
direct
0.500 0.000 0.000
0.000 0.500 0.000
0.500 0.500 0.500
0.000 0.000 0.000
0.000 0.000 0.500
```

---

Entry 8:
Crystalline FeMoSe2N at its relaxed geometry. Source: Alexandria via LeMat-Bulk, functional PBE.

E_tot, Ry per atom: -0.470
E_form (uncorrected), kJ/mol of formula units: 250
Density, Mg/m³: 6.731
SG: P4/mmm (123)

The structure in POSCAR format:
```
FeMoSe2N
1.0
4.857 0.000 0.000
0.000 4.857 0.000
0.000 0.000 3.386
Fe Se Mo N
1 2 1 1
direct
0.000 0.000 0.000
0.500 0.000 0.000
0.000 0.500 0.000
0.500 0.500 0.500
0.000 0.000 0.500
```

---

Entry 9:
Crystalline FeSnMo2N at its relaxed geometry. Source: Alexandria via LeMat-Bulk, functional PBE.

E_tot, Ry per atom: -0.628
E_form (uncorrected), kJ/mol of formula units: -23
Density, Mg/m³: 9.149
SG: P4/mmm (123)

The structure in POSCAR format:
```
FeSnMo2N
1.0
-0.374 -1.545 3.889
-0.414 -3.872 -1.578
3.877 -0.488 0.179
Mo Sn N Fe
2 1 1 1
direct
0.000 0.500 0.000
0.500 0.000 0.000
0.500 0.500 0.500
0.000 0.000 0.000
0.000 0.000 0.500
```

---

Entry 10:
Crystalline TbFe10Mo2N at its relaxed geometry. Source: Alexandria via LeMat-Bulk, functional PBE.

E_tot, Ry per atom: -0.634
E_form (uncorrected), kJ/mol of formula units: -147
Density, Mg/m³: 8.597
SG: Immm (71)

The structure in POSCAR format:
```
TbFe10Mo2N
1.0
-2.385 4.308 4.339
2.385 -4.308 4.339
2.385 4.308 -4.339
Fe Tb Mo N
10 1 2 1
direct
0.778 0.500 0.278
0.780 0.280 0.500
0.222 0.500 0.722
0.500 0.500 0.500
0.640 0.640 0.000
0.500 0.000 0.000
0.360 0.360 0.000
0.000 0.500 0.000
0.220 0.720 0.500
0.000 0.000 0.500
0.000 0.000 0.000
0.358 0.000 0.358
0.642 0.000 0.642
0.000 0.500 0.500
```

---

Entry 11:
Crystalline Fe2TcMoN at its relaxed geometry. Source: Alexandria via LeMat-Bulk, functional PBE.

E_tot, Ry per atom: -0.681
E_form (uncorrected), kJ/mol of formula units: 11
Density, Mg/m³: 8.970
SG: P4/mmm (123)

The structure in POSCAR format:
```
Fe2TcMoN
1.0
-2.572 -0.915 -2.666
-0.678 -3.302 1.787
-2.915 1.788 2.198
Fe Mo N Tc
2 1 1 1
direct
0.000 0.500 0.000
0.500 0.000 0.000
0.000 0.000 0.500
0.000 0.000 0.000
0.500 0.500 0.500
```

---

Entry 12:
Crystalline FeTcMo2N at its relaxed geometry. Source: Alexandria via LeMat-Bulk, functional PBE.

E_tot, Ry per atom: -0.723
E_form (uncorrected), kJ/mol of formula units: -33
Density, Mg/m³: 9.447
SG: P4/mmm (123)

The structure in POSCAR format:
```
FeTcMo2N
1.0
4.111 0.000 0.000
0.000 4.111 0.000
0.000 0.000 3.741
Fe Mo N Tc
1 2 1 1
direct
0.000 0.000 0.500
0.500 0.000 0.000
0.000 0.500 0.000
0.000 0.000 0.000
0.500 0.500 0.500
```